(1)
# LaTh4Sc GGA-PBE optimized geometry
data_LaTh4Sc
_chemical_formula_sum 'La1 Th4 Sc1'
_cell_length_a 3.580
_cell_length_b 3.580
_cell_length_c 14.750
_cell_angle_alpha 90.00
_cell_angle_beta 90.00
_cell_angle_gamma 90.00
_space_group_name_H-M_alt 'P 1'
_space_group_IT_number 1
_space_group_name_Hall 'P 1'
loop_
_atom_site_label
_atom_site_type_symbol
_atom_site_fract_x
_atom_site_fract_y
_atom_site_fract_z
La1 La 0.000 0.000 0.000
Th1 Th 0.000 0.000 0.344
Th2 Th 0.000 0.000 0.656
Th3 Th 0.500 0.500 0.179
Th4 Th 0.500 0.500 0.821
Sc1 Sc 0.500 0.500 0.500
# ΔH_f (0 K)	38	meV/atom
# DOS(E_F)	9.091	states/eV/cell
# symmetry	No. 123
# E	-6.785	eV per atom



(2)
# CeAgSeN GGA-PBE optimized geometry
data_CeAgSeN
_chemical_formula_sum 'Ce2 Ag2 Se2 N2'
_cell_length_a 11.216
_cell_length_b 11.216
_cell_length_c 11.216
_cell_angle_alpha 20.94
_cell_angle_beta 20.94
_cell_angle_gamma 20.94
_space_group_name_H-M_alt 'P 1'
_space_group_IT_number 1
_space_group_name_Hall 'P 1'
loop_
_atom_site_label
_atom_site_type_symbol
_atom_site_fract_x
_atom_site_fract_y
_atom_site_fract_z
Ce1 Ce 0.125 0.125 0.125
Ce2 Ce 0.875 0.875 0.875
Ag1 Ag 0.308 0.308 0.308
Ag2 Ag 0.692 0.692 0.692
Se1 Se 0.397 0.397 0.397
Se2 Se 0.603 0.603 0.603
N1 N 0.192 0.192 0.192
N2 N 0.808 0.808 0.808
# symmetry	No. 166
# E	-6.179	eV per atom
# ΔE_f (raw)	-99	kJ/mol of atoms



Calculated spin magnetization (μB per atom), listed in the same order as above: 0.00 0.00